Material: CsB
Method: DFT, GGA-PBE
State: relaxed

```
CsB
1.0
-0.8602 -3.7662 8.5454
-7.7115 -4.5536 -2.7832
5.2670 -7.2821 -2.6793
B Cs
6 6
Direct
0.2500 0.0000 0.5000
0.0000 0.5000 0.2500
0.7500 0.0000 0.5000
0.5000 0.2500 0.0000
0.0000 0.5000 0.7500
0.5000 0.7500 0.0000
0.5000 0.0000 0.7500
0.5000 0.0000 0.2500
0.2500 0.5000 0.0000
0.0000 0.7500 0.5000
0.7500 0.5000 0.0000
0.0000 0.2500 0.5000
```

Properties
Relative energy among the computed polymorphs = 1943 meV per atom
V = 68.73 Å³ per atom
Space group = Pm-3n (223)

***

Material: CsB
Method: DFT, GGA-PBE
State: relaxed

```
CsB
1.0
-0.7845 6.6753 2.1330
-6.9916 -0.5998 -0.6944
-0.4759 -2.1921 6.6852
B Cs
4 4
Direct
0.5000 0.5000 0.0000
0.0000 0.5000 0.5000
0.5000 0.0000 0.5000
0.0000 0.0000 0.0000
0.0000 0.0000 0.5000
0.5000 0.0000 0.0000
0.5000 0.5000 0.5000
0.0000 0.5000 0.0000
```

Properties
Relative energy among the computed polymorphs = 1849 meV per atom
V = 43.83 Å³ per atom
Space group = Fm-3m (225)

***

Material: CsB
Method: DFT, GGA-PBE
State: relaxed

```
CsB
1.0
-8.3881 3.4676 -2.9186
2.2613 -2.1189 -9.0166
-3.9280 -8.6249 1.0417
Cs B
8 8
Direct
0.2169 0.2169 0.7831
0.2831 0.2831 0.2831
0.2169 0.7831 0.2169
0.7831 0.7831 0.7831
0.7169 0.7169 0.2831
0.2831 0.7169 0.7169
0.7169 0.2831 0.7169
0.7831 0.2169 0.2169
0.0635 0.9365 0.9365
0.9365 0.0635 0.9365
0.4365 0.5635 0.4365
0.5635 0.4365 0.4365
0.9365 0.9365 0.0635
0.4365 0.4365 0.5635
0.0635 0.0635 0.0635
0.5635 0.5635 0.5635
```

Properties
Relative energy among the computed polymorphs = 628 meV per atom
V = 54.17 Å³ per atom
Space group = I-43m (217)

***

Material: CsB
Method: DFT, GGA-PBE
State: relaxed

```
CsB
1.0
-12.5485 7.3325 7.9787
-6.5947 -6.0535 -4.8087
0.4753 -4.1173 4.5312
Cs B
8 8
Direct
0.8057 0.7088 0.9996
0.6943 0.2912 0.4996
0.3057 0.7912 0.0004
0.0814 0.6362 0.5004
0.5814 0.8638 0.4996
0.9186 0.1362 0.9996
0.4186 0.3638 0.0004
0.1943 0.2088 0.5004
0.2511 0.5008 0.7343
0.2489 0.4992 0.2344
0.7400 0.0075 0.0161
0.7600 0.9925 0.5161
0.2400 0.4925 0.9839
0.7489 0.0008 0.7657
0.7511 0.9992 0.2656
0.2600 0.5075 0.4839
```

Properties
Relative energy among the computed polymorphs = 0 meV per atom
V = 64.66 Å³ per atom
Space group = P2_12_12_1 (19)

***

| no. | DOS at the Fermi energy (states/eV/atom) | ΔH_f (0 K) (eV per formula unit) |
| --- | --- | --- |
| 1 | 1.61 | 4.43 |
| 2 | 2.33 | 4.25 |
| 3 | 0.42 | 1.80 |
| 4 | 0.44 | 0.55 |